Below is a geometry-optimized CoRuW2 structure, with properties calculated at the GGA-PBE level.

Polymorph energy (0 for the lowest one): 105 meV/atom
N(E_F): 1.0114 states/eV/atom
V: 57.1 Å³/cell
SG: I-4m2 (119)
Total magnetic moment: 0.000 μB per atom
Energy of formation: 0.58 eV per formula unit

```
data_CoRuW2
_symmetry_space_group_name_H-M 'P 1'
_symmetry_Int_Tables_number 1
_cell_length_a 4.7416
_cell_length_b 4.7416
_cell_length_c 4.7416
_cell_angle_alpha 132.36
_cell_angle_beta 132.36
_cell_angle_gamma 69.66
loop_
_symmetry_equiv_pos_as_xyz
'x,y,z'
loop_
_atom_site_label
_atom_site_type_symbol
_atom_site_fract_x
_atom_site_fract_y
_atom_site_fract_z
_atom_site_occupancy
Co1 Co 0.0000 0.0000 0.0000 1
Ru1 Ru 0.7500 0.2500 0.5000 1
W1 W 0.2500 0.7500 0.5000 1
W2 W 0.5000 0.5000 0.0000 1
```

Below is a geometry-optimized LuZrZnPt structure, with properties calculated at the GGA-PBE level.

N(E_F): 0.8833 states/eV/atom
V: 78.7 Å³/cell
SG: F-43m (216)
Total magnetic moment: 0.000 μB per atom
Energy of formation: -2.70 eV per formula unit

```
data_LuZrZnPt
_symmetry_space_group_name_H-M 'P 1'
_symmetry_Int_Tables_number 1
_cell_length_a 4.8109
_cell_length_b 4.8109
_cell_length_c 4.8109
_cell_angle_alpha 60.00
_cell_angle_beta 60.00
_cell_angle_gamma 60.00
loop_
_symmetry_equiv_pos_as_xyz
'x,y,z'
loop_
_atom_site_label
_atom_site_type_symbol
_atom_site_fract_x
_atom_site_fract_y
_atom_site_fract_z
_atom_site_occupancy
Lu1 Lu 0.0000 0.0000 0.0000 1
Zr1 Zr 0.5000 0.5000 0.5000 1
Zn1 Zn 0.2500 0.2500 0.2500 1
Pt1 Pt 0.7500 0.7500 0.7500 1
```